The following is a DFT calculation (GGA+U) of an optimized crystal structure of LiGa4W2O12.

a = 9.159 Å, b = 4.687 Å, c = 4.694 Å
α = 88.72°, β = 90.00°, γ = 90.00°
Sites, in units of the cell vectors:
O (0.343, 0.194, 0.195)
O (0.829, 0.307, 0.701)
O (0.343, 0.806, 0.805)
O (0.171, 0.698, 0.303)
O (0.999, 0.203, 0.202)
O (0.500, 0.700, 0.301)
O (0.500, 0.300, 0.699)
O (0.829, 0.693, 0.299)
O (0.171, 0.302, 0.697)
O (0.999, 0.797, 0.798)
O (0.660, 0.197, 0.189)
O (0.660, 0.803, 0.811)
Ga (0.659, 0.500, 0.500)
Ga (0.163, 0.000, 0.000)
Ga (0.841, 0.000, 0.000)
Ga (0.334, 0.500, 0.500)
Li (0.750, 0.500, 0.000)
W (0.495, 0.000, 0.000)
W (0.004, 0.500, 0.500)

Properties
**Space-group type**: P2
**Magnetization**: 1.01 Bohr magnetons per cell
**Crystal system**: monoclinic
**Electronic total energy**: -6.5053 eV/atom
**Energy relative to the lowest polymorph listed for this composition**: 0.000 eV per atom